1.
The following is a meta-GGA SCAN calculation of a crystal of K3TcH relaxed with PBEsol, from Alexandria via LeMat-Bulk.

Cell and atoms, written as POSCAR:
```
K3TcH
1.0
6.169 0.000 0.000
0.000 6.169 0.000
0.000 0.000 6.169
K Tc H
3 1 1
Direct
0.000 0.000 0.500
0.000 0.500 0.000
0.500 0.000 0.000
0.000 0.000 0.000
0.500 0.500 0.500
```

Properties
Space-group type: Pm-3m
Calculated volume in A^3/atom: 46.953
Total energy in eV per atom: -11.434

2.
The following is a meta-GGA SCAN calculation of a crystal of KTeH relaxed with PBEsol, from Alexandria via LeMat-Bulk.

Cell and atoms, written as POSCAR:
```
KTeH
1.0
5.606 0.000 0.000
2.729 4.899 0.000
0.241 0.141 6.087
K Te H
2 2 2
Direct
0.000 0.000 0.000
0.317 0.316 0.496
0.633 0.634 0.729
0.677 0.676 0.260
0.092 0.956 0.492
0.956 0.093 0.492
```

Properties
Space-group type: P1
Calculated volume in A^3/atom: 27.862
Total energy in eV per atom: -16.992

3.
The following is a meta-GGA SCAN calculation of a crystal of KTeH2 relaxed with PBEsol, from Alexandria via LeMat-Bulk.

Cell and atoms, written as POSCAR:
```
KTeH2
1.0
-2.382 2.382 7.252
2.382 -2.382 7.252
2.382 2.382 -7.252
K Te H
2 2 4
Direct
0.375 0.625 0.750
0.625 0.375 0.250
0.125 0.875 0.250
0.875 0.125 0.750
0.000 0.000 0.000
0.000 0.000 0.500
0.000 0.500 0.000
0.500 0.000 0.500
```

Properties
Space-group type: I4_1/amd
Calculated volume in A^3/atom: 20.572
Total energy in eV per atom: -13.026

4.
The following is a meta-GGA SCAN calculation of a crystal of KTe3H relaxed with PBEsol, from Alexandria via LeMat-Bulk.

Cell and atoms, written as POSCAR:
```
KTe3H
1.0
4.914 0.000 0.000
0.000 4.914 0.000
0.000 0.000 4.914
K Te H
1 3 1
Direct
0.000 0.000 0.000
0.000 0.500 0.500
0.500 0.000 0.500
0.500 0.500 0.000
0.500 0.500 0.500
```

Properties
Space-group type: Pm-3m
Calculated volume in A^3/atom: 23.729
Total energy in eV per atom: -24.569

5.
The following is a meta-GGA SCAN calculation of a crystal of K2TiH relaxed with PBEsol, from Alexandria via LeMat-Bulk.

Cell and atoms, written as POSCAR:
```
K2TiH
1.0
-6.098 6.098 1.855
6.098 -6.098 1.855
6.098 6.098 -1.855
K Ti H
4 2 2
Direct
0.375 0.044 0.169
0.794 0.625 0.669
0.875 0.206 0.831
0.956 0.125 0.331
0.250 0.750 0.500
0.500 0.500 0.000
0.000 0.000 0.000
0.750 0.250 0.500
```

Properties
Space-group type: I-42d
Calculated volume in A^3/atom: 34.481
Total energy in eV per atom: -8.512

6.
The following is a meta-GGA SCAN calculation of a crystal of KTiH3 relaxed with PBEsol, from Alexandria via LeMat-Bulk.

Cell and atoms, written as POSCAR:
```
KTiH3
1.0
3.912 0.000 0.000
0.000 3.912 0.000
0.000 0.000 3.912
K Ti H
1 1 3
Direct
0.000 0.000 0.000
0.500 0.500 0.500
0.000 0.500 0.500
0.500 0.000 0.500
0.500 0.500 0.000
```

Properties
Space-group type: Pm-3m
Calculated volume in A^3/atom: 11.977
Total energy in eV per atom: -7.130

7.
The following is a meta-GGA SCAN calculation of a crystal of KY2H relaxed with PBEsol, from Alexandria via LeMat-Bulk.

Cell and atoms, written as POSCAR:
```
KY2H
1.0
0.000 5.004 5.004
5.004 0.000 5.004
5.004 5.004 0.000
K Y H
2 4 2
Direct
0.125 0.125 0.125
0.875 0.875 0.875
0.000 0.500 0.500
0.500 0.000 0.500
0.500 0.500 0.000
0.500 0.500 0.500
0.375 0.375 0.375
0.625 0.625 0.625
```

Properties
Space-group type: Fd-3m
Calculated volume in A^3/atom: 31.327
Total energy in eV per atom: -16.733

8.
The following is a meta-GGA SCAN calculation of a crystal of K2ZnH relaxed with PBEsol, from Alexandria via LeMat-Bulk.

Cell and atoms, written as POSCAR:
```
K2ZnH
1.0
-4.063 4.063 3.719
4.063 -4.063 3.719
4.063 4.063 -3.719
K Zn H
4 2 2
Direct
0.036 0.625 0.911
0.375 0.286 0.411
0.714 0.125 0.089
0.875 0.964 0.589
0.250 0.750 0.500
0.500 0.500 0.000
0.000 0.000 0.000
0.750 0.250 0.500
```

Properties
Space-group type: I-42d
Calculated volume in A^3/atom: 30.698
Total energy in eV per atom: -8.268

9.
The following is a meta-GGA SCAN calculation of a crystal of K2ZnH4 relaxed with PBEsol, from Alexandria via LeMat-Bulk.

Cell and atoms, written as POSCAR:
```
K2ZnH4
1.0
7.618 0.000 0.000
0.000 5.650 0.000
0.000 0.000 9.981
K Zn H
8 4 16
Direct
0.016 0.250 0.185
0.159 0.750 0.407
0.341 0.250 0.907
0.484 0.750 0.685
0.516 0.250 0.315
0.659 0.750 0.093
0.841 0.250 0.593
0.984 0.750 0.815
0.238 0.750 0.082
0.262 0.250 0.582
0.738 0.750 0.418
0.762 0.250 0.918
0.024 0.750 0.092
0.184 0.013 0.656
0.184 0.487 0.656
0.192 0.250 0.426
0.308 0.750 0.926
0.316 0.513 0.156
0.316 0.987 0.156
0.476 0.250 0.592
0.524 0.750 0.408
0.684 0.013 0.844
0.684 0.487 0.844
0.692 0.250 0.074
0.808 0.750 0.574
0.816 0.513 0.344
0.816 0.987 0.344
0.976 0.250 0.908
```

Properties
Space-group type: Pnma
Calculated volume in A^3/atom: 15.344
Total energy in eV per atom: -6.615

10.
The following is a meta-GGA SCAN calculation of a crystal of KZr2H relaxed with PBEsol, from Alexandria via LeMat-Bulk.

Cell and atoms, written as POSCAR:
```
KZr2H
1.0
0.000 4.562 4.562
4.562 0.000 4.562
4.562 4.562 0.000
K Zr H
2 4 2
Direct
0.125 0.125 0.125
0.875 0.875 0.875
0.000 0.500 0.500
0.500 0.000 0.500
0.500 0.500 0.000
0.500 0.500 0.500
0.375 0.375 0.375
0.625 0.625 0.625
```

Properties
Space-group type: Fd-3m
Calculated volume in A^3/atom: 23.730
Total energy in eV per atom: -17.772

11.
The following is a meta-GGA SCAN calculation of a crystal of LaH3 relaxed with PBEsol, from Alexandria via LeMat-Bulk.

Cell and atoms, written as POSCAR:
```
LaH3
1.0
0.000 2.735 2.735
2.735 0.000 2.735
2.735 2.735 0.000
La H
1 3
Direct
0.000 0.000 0.000
0.250 0.250 0.250
0.500 0.500 0.500
0.750 0.750 0.750
```

Properties
Space-group type: Fm-3m
Calculated volume in A^3/atom: 10.234
Total energy in eV per atom: -14.057

12.
The following is a meta-GGA SCAN calculation of a crystal of La2H5 relaxed with PBEsol, from Alexandria via LeMat-Bulk.

Cell and atoms, written as POSCAR:
```
La2H5
1.0
-2.739 2.739 5.593
2.739 -2.739 5.593
2.739 2.739 -5.593
La H
4 10
Direct
0.120 0.370 0.750
0.370 0.120 0.250
0.630 0.880 0.750
0.880 0.630 0.250
0.000 0.268 0.268
0.000 0.732 0.732
0.125 0.875 0.250
0.268 0.000 0.768
0.268 0.500 0.268
0.500 0.268 0.768
0.500 0.732 0.232
0.732 0.000 0.232
0.732 0.500 0.732
0.875 0.125 0.750
```

Properties
Space-group type: I4_1/amd
Calculated volume in A^3/atom: 11.989
Total energy in eV per atom: -15.512

13.
The following is a meta-GGA SCAN calculation of a crystal of LaH2 relaxed with PBEsol, from Alexandria via LeMat-Bulk.

Cell and atoms, written as POSCAR:
```
LaH2
1.0
0.000 2.785 2.785
2.785 0.000 2.785
2.785 2.785 0.000
La H
1 2
Direct
0.000 0.000 0.000
0.250 0.250 0.250
0.750 0.750 0.750
```

Properties
Space-group type: Fm-3m
Calculated volume in A^3/atom: 14.398
Total energy in eV per atom: -17.422

14.
The following is a meta-GGA SCAN calculation of a crystal of LiLa2MgH relaxed with PBEsol, from Alexandria via LeMat-Bulk.

Cell and atoms, written as POSCAR:
```
LiLa2MgH
1.0
5.269 0.000 0.000
0.000 5.269 0.000
0.000 0.000 4.080
Li La Mg H
1 2 1 1
Direct
0.000 0.000 0.000
0.000 0.500 0.500
0.500 0.000 0.500
0.500 0.500 0.000
0.000 0.000 0.500
```

Properties
Space-group type: P4/mmm
Calculated volume in A^3/atom: 22.659
Total energy in eV per atom: -19.645

15.
The following is a meta-GGA SCAN calculation of a crystal of LiLaNbH2 relaxed with PBEsol, from Alexandria via LeMat-Bulk.

Cell and atoms, written as POSCAR:
```
LiLaNbH2
1.0
3.934 0.000 0.000
0.000 3.934 0.000
0.000 0.000 4.696
Li La Nb H
1 1 1 2
Direct
0.000 0.000 0.000
0.500 0.500 0.000
0.000 0.000 0.500
0.000 0.500 0.500
0.500 0.000 0.500
```

Properties
Space-group type: P4/mmm
Calculated volume in A^3/atom: 14.538
Total energy in eV per atom: -16.750

16.
The following is a meta-GGA SCAN calculation of a crystal of LaMg2H relaxed with PBEsol, from Alexandria via LeMat-Bulk.

Cell and atoms, written as POSCAR:
```
LaMg2H
1.0
0.000 3.621 3.621
3.621 0.000 3.621
3.621 3.621 0.000
La Mg H
1 2 1
Direct
0.000 0.000 0.000
0.250 0.250 0.250
0.750 0.750 0.750
0.500 0.500 0.500
```

Properties
Space-group type: Fm-3m
Calculated volume in A^3/atom: 23.730
Total energy in eV per atom: -13.444

17.
The following is a meta-GGA SCAN calculation of a crystal of La2MgH2 relaxed with PBEsol, from Alexandria via LeMat-Bulk.

Cell and atoms, written as POSCAR:
```
La2MgH2
1.0
-2.043 2.043 6.324
2.043 -2.043 6.324
2.043 2.043 -6.324
La Mg H
2 1 2
Direct
0.153 0.153 0.000
0.847 0.847 0.000
0.500 0.500 0.000
0.250 0.750 0.500
0.750 0.250 0.500
```

Properties
Space-group type: I4/mmm
Calculated volume in A^3/atom: 21.109
Total energy in eV per atom: -20.093

18.
The following is a meta-GGA SCAN calculation of a crystal of La2MgHN relaxed with PBEsol, from Alexandria via LeMat-Bulk.

Cell and atoms, written as POSCAR:
```
La2MgHN
1.0
5.421 0.000 0.000
0.000 5.421 0.000
0.000 0.000 3.414
La Mg H N
2 1 1 1
Direct
0.000 0.500 0.000
0.500 0.000 0.000
0.000 0.000 0.000
0.000 0.000 0.500
0.500 0.500 0.500
```

Properties
Space-group type: P4/mmm
Calculated volume in A^3/atom: 20.067
Total energy in eV per atom: -19.925

19.
The following is a meta-GGA SCAN calculation of a crystal of LaMgTcH2 relaxed with PBEsol, from Alexandria via LeMat-Bulk.

Cell and atoms, written as POSCAR:
```
LaMgTcH2
1.0
3.800 0.000 0.000
0.000 3.800 0.000
0.000 0.000 5.384
La Mg Tc H
1 1 1 2
Direct
0.000 0.000 0.000
0.500 0.500 0.500
0.500 0.500 0.000
0.000 0.500 0.500
0.500 0.000 0.500
```

Properties
Space-group type: P4/mmm
Calculated volume in A^3/atom: 15.548
Total energy in eV per atom: -17.515

20.
The following is a meta-GGA SCAN calculation of a crystal of LaMn2H relaxed with PBEsol, from Alexandria via LeMat-Bulk.

Cell and atoms, written as POSCAR:
```
LaMn2H
1.0
0.000 3.079 3.079
3.079 0.000 3.079
3.079 3.079 0.000
La Mn H
1 2 1
Direct
0.000 0.000 0.000
0.250 0.250 0.250
0.750 0.750 0.750
0.500 0.500 0.500
```

Properties
Space-group type: Fm-3m
Calculated volume in A^3/atom: 14.596
Total energy in eV per atom: -19.828

21.
The following is a meta-GGA SCAN calculation of a crystal of La3MnH relaxed with PBEsol, from Alexandria via LeMat-Bulk.

Cell and atoms, written as POSCAR:
```
La3MnH
1.0
4.949 0.000 0.000
0.000 4.949 0.000
0.000 0.000 4.949
La Mn H
3 1 1
Direct
0.000 0.000 0.500
0.000 0.500 0.000
0.500 0.000 0.000
0.500 0.500 0.500
0.000 0.000 0.000
```

Properties
Space-group type: Pm-3m
Calculated volume in A^3/atom: 24.239
Total energy in eV per atom: -30.307

22.
The following is a meta-GGA SCAN calculation of a crystal of La2ReMoH relaxed with PBEsol, from Alexandria via LeMat-Bulk.

Cell and atoms, written as POSCAR:
```
La2ReMoH
1.0
5.099 0.000 0.000
0.000 5.099 0.000
0.000 0.000 3.591
La Re Mo H
2 1 1 1
Direct
0.000 0.500 0.000
0.500 0.000 0.000
0.000 0.000 0.500
0.500 0.500 0.500
0.000 0.000 0.000
```

Properties
Space-group type: P4/mmm
Calculated volume in A^3/atom: 18.674
Total energy in eV per atom: -38.668

23.
The following is a meta-GGA SCAN calculation of a crystal of La2HN2 relaxed with PBEsol, from Alexandria via LeMat-Bulk.

Cell and atoms, written as POSCAR:
```
La2HN2
1.0
6.832 0.000 0.000
0.000 6.832 0.000
0.000 0.000 3.245
La H N
4 2 4
Direct
0.161 0.339 0.000
0.339 0.839 0.000
0.661 0.161 0.000
0.839 0.661 0.000
0.000 0.000 0.500
0.500 0.500 0.500
0.153 0.653 0.500
0.347 0.153 0.500
0.653 0.847 0.500
0.847 0.347 0.500
```

Properties
Space-group type: P4/mbm
Calculated volume in A^3/atom: 15.144
Total energy in eV per atom: -22.406

24.
The following is a meta-GGA SCAN calculation of a crystal of LaH3N relaxed with PBEsol, from Alexandria via LeMat-Bulk.

Cell and atoms, written as POSCAR:
```
LaH3N
1.0
3.519 0.000 0.000
0.000 3.519 0.000
0.000 0.000 3.519
La H N
1 3 1
Direct
0.000 0.000 0.000
0.000 0.500 0.500
0.500 0.000 0.500
0.500 0.500 0.000
0.500 0.500 0.500
```

Properties
Space-group type: Pm-3m
Calculated volume in A^3/atom: 8.713
Total energy in eV per atom: -12.086